# BaPuFeO6 GGA+U relaxed
# DFT total energy ... -8.007 eV per atom
# Magnetic moment ... 0.67 μB/atom
data_BaPuFeO6
_chemical_formula_sum 'Ba2 Pu2 Fe2 O12'
_space_group_name_H-M_alt 'P -3 1 c'
_space_group_IT_number 163
_space_group_name_Hall '-P 3 2c'
_cell_length_a 5.4144
_cell_length_b 5.4144
_cell_length_c 11.6647
_cell_angle_alpha 90.00
_cell_angle_beta 90.00
_cell_angle_gamma 120.00
loop_
_atom_site_label
_atom_site_fract_x
_atom_site_fract_y
_atom_site_fract_z
Ba1 0.0000 0.0000 0.0000
Pu1 0.3333 0.6667 0.2500
Fe1 0.3333 0.6667 0.7500
O1 0.0046 0.3779 0.1544